A geometry-optimized Nd2DyPt structure, computed with GGA-PBE.

**Formation enthalpy at 0 K**: -249 kJ/mol of formula units
**Density**: 9064 kg/m³

a b c (Å): 7.1673 10.0353 6.5822
angles (deg): 90.00 90.00 90.00
With the nearest neighbours (Å) after each atom.
Space group Pnma (No. 62)
Asymmetric unit:
Nd 0.1817 0.0615 0.1758 [8 per cell]  2 Pt 2.97-2.99
Dy 0.0315 0.2500 0.6450 [4 per cell]  2 Pt 2.83-2.86
Pt 0.1161 0.7500 0.9512 [4 per cell]  2 Dy 2.83-2.86, 4 Nd 2.97-2.99